(1)
! La8Sb3Te4I | Alexandria via LeMat-Bulk | PBE-GGA | optimized geometry; values from VASP
! SG = R-3m, No. 166
! Density of states at the Fermi level = 10.265 states/eV per cell
! Formation energy (no corrections) = -1433 meV/atom
! Spin magnetization = 0.000 Bohr magnetons per cell
! VASP energy = -5.55 eV/atom
&SYSTEM
  ibrav = 0, nat = 16, ntyp = 4
/
ATOMIC_SPECIES
Sb 121.76 Sb.upf
La 138.91 La.upf
Te 127.60 Te.upf
I 126.90 I.upf
ATOMIC_POSITIONS angstrom
Sb -1.115 -0.209 4.459
La -4.855 -5.289 0.856
Te -2.647 -2.086 -3.137
Te -1.531 3.761 2.171
Sb -3.762 -2.295 1.322
Te -4.179 1.675 -0.966
La -2.303 -3.173 4.053
Sb -2.231 -6.056 -0.849
La -3.777 0.449 6.144
I 0.417 -3.970 2.288
La -2.670 0.700 1.788
La -5.222 -1.417 -1.410
La -1.197 -3.030 -0.479
La -6.327 -1.560 3.122
La -3.747 -5.039 -3.500
Te 0.000 0.000 0.000
CELL_PARAMETERS angstrom
-5.295 -4.172 -6.274
0.833 -7.939 4.576
-3.063 7.522 4.342

(2)
! ErAl3NiPt | Alexandria via LeMat-Bulk | PBE-GGA | optimized geometry; values from VASP
! SG = Cmcm, No. 63
! Density of states at the Fermi level = 6.082 states/eV per cell
! Spin magnetization = 0.000 Bohr magnetons per cell
! VASP energy = -5.24 eV/atom
&SYSTEM
  ibrav = 0, nat = 12, ntyp = 4
/
ATOMIC_SPECIES
Al 26.98 Al.upf
Pt 195.08 Pt.upf
Er 167.26 Er.upf
Ni 58.69 Ni.upf
ATOMIC_POSITIONS angstrom
Al 0.633 -0.710 -5.123
Pt -4.181 -1.036 -1.155
Er -4.236 1.271 -3.046
Pt -1.842 0.155 -5.223
Er -1.787 -2.152 -3.333
Al -4.063 -1.016 -5.336
Al 1.521 -2.579 -3.190
Ni -1.965 2.468 -2.931
Al -1.960 0.135 -1.043
Ni -4.058 -3.350 -3.447
Al -0.269 0.819 -3.231
Al 0.619 -1.049 -1.298
CELL_PARAMETERS angstrom
-1.775 3.736 -3.866
2.139 -3.628 -4.488
-6.387 -0.990 1.976

(3)
! NpRhPb2O8 | Alexandria via LeMat-Bulk | PBE-GGA | optimized geometry; values from VASP
! SG = P2/m, No. 10
! Density of states at the Fermi level = 8.526 states/eV per cell
! Formation energy (no corrections) = -1415 meV/atom
! Spin magnetization = 0.941 Bohr magnetons per cell
! VASP energy = -7.03 eV/atom
&SYSTEM
  ibrav = 0, nat = 12, ntyp = 4
/
ATOMIC_SPECIES
O 16.00 O.upf
Np 237.00 Np.upf
Pb 207.20 Pb.upf
Rh 102.91 Rh.upf
ATOMIC_POSITIONS angstrom
O 3.558 3.557 -0.006
Np 0.000 0.000 0.000
O 0.849 4.201 1.613
Pb 2.550 2.533 4.850
O 4.247 0.858 1.615
O 4.249 0.862 4.941
O 1.466 1.421 3.279
O 1.536 1.498 -0.003
Pb 2.548 2.530 1.705
Rh 0.002 0.004 3.282
O 3.632 3.642 3.275
O 0.851 4.205 4.939
CELL_PARAMETERS angstrom
5.148 -0.072 -0.003
-0.054 5.128 -0.006
0.004 0.008 6.564

(4)
! MgZnInBi | Alexandria via LeMat-Bulk | PBE-GGA | optimized geometry; values from VASP
! SG = F-43m, No. 216
! Density of states at the Fermi level = 0.726 states/eV per cell
! Spin magnetization = 0.000 Bohr magnetons per cell
! VASP energy = -2.33 eV/atom
&SYSTEM
  ibrav = 0, nat = 4, ntyp = 4
/
ATOMIC_SPECIES
Mg 24.30 Mg.upf
In 114.82 In.upf
Zn 65.41 Zn.upf
Bi 208.98 Bi.upf
ATOMIC_POSITIONS angstrom
Mg -2.478 1.162 1.645
In -4.956 2.325 3.291
Zn -7.434 3.487 4.936
Bi 0.000 0.000 0.000
CELL_PARAMETERS angstrom
-5.061 1.238 -0.232
-3.051 -0.708 4.170
-1.800 4.119 2.643

(5)
! Cd2IrAu | Alexandria via LeMat-Bulk | PBE-GGA | optimized geometry; values from VASP
! E above lowest polymorph = 0.134 eV/f.u.
! SG = Pmm2, No. 25
! Density of states at the Fermi level = 1.891 states/eV per cell
! Spin magnetization = 0.000 Bohr magnetons per cell
! VASP energy = -3.43 eV/atom
&SYSTEM
  ibrav = 0, nat = 4, ntyp = 3
/
ATOMIC_SPECIES
Cd 112.41 Cd.upf
Ir 192.22 Ir.upf
Au 196.97 Au.upf
ATOMIC_POSITIONS angstrom
Cd 2.353 0.396 1.591
Cd 0.000 0.400 4.538
Ir 0.000 1.975 2.107
Au 2.353 1.976 3.953
CELL_PARAMETERS angstrom
4.707 0.000 0.000
0.000 3.155 -0.004
0.000 0.006 4.878

(6)
! NbTe2Ir | Alexandria via LeMat-Bulk | PBE-GGA | optimized geometry; values from VASP
! E above lowest polymorph = 0.000 eV/f.u.
! SG = P2_1/c, No. 14
! Density of states at the Fermi level = 7.741 states/eV per cell
! Formation energy (no corrections) = -375 meV/atom
! Spin magnetization = 0.000 Bohr magnetons per cell
! VASP energy = -6.68 eV/atom
&SYSTEM
  ibrav = 0, nat = 16, ntyp = 3
/
ATOMIC_SPECIES
Nb 92.91 Nb.upf
Ir 192.22 Ir.upf
Te 127.60 Te.upf
ATOMIC_POSITIONS angstrom
Nb 0.183 4.987 1.879
Ir 0.940 0.416 5.129
Nb 2.993 1.305 3.528
Te 4.913 4.358 -0.356
Nb 3.358 6.048 1.844
Te 4.693 1.152 5.811
Te 1.518 2.518 1.210
Ir 4.116 3.254 1.891
Te 1.658 6.200 -0.439
Nb 6.169 2.365 3.493
Ir 2.235 4.098 3.481
Ir 5.411 6.936 0.243
Te 1.439 2.994 5.729
Te 4.614 0.676 1.292
Te 1.737 6.676 4.080
Te 4.834 4.834 4.163
CELL_PARAMETERS angstrom
6.351 0.000 0.000
0.000 7.364 -3.297
0.000 -0.012 8.669

(7)
! CaHo2Pd2 | Alexandria via LeMat-Bulk | PBE-GGA | optimized geometry; values from VASP
! E above lowest polymorph = 0.367 eV/f.u.
! SG = P-1, No. 2
! Density of states at the Fermi level = 6.365 states/eV per cell
! Spin magnetization = 0.000 Bohr magnetons per cell
! VASP energy = -4.94 eV/atom
&SYSTEM
  ibrav = 0, nat = 10, ntyp = 3
/
ATOMIC_SPECIES
Ca 40.08 Ca.upf
Pd 106.42 Pd.upf
Ho 164.93 Ho.upf
ATOMIC_POSITIONS angstrom
Ca 3.680 2.610 5.750
Pd 6.132 7.003 8.206
Pd 6.173 2.873 3.969
Ho 6.152 4.995 6.142
Ho 3.696 3.302 2.365
Pd 3.675 5.424 4.538
Pd 3.716 1.294 0.301
Ho 8.620 7.455 6.617
Ca 6.169 5.687 2.757
Ho 1.228 0.842 1.890
CELL_PARAMETERS angstrom
4.965 0.018 0.016
2.447 7.212 1.250
2.436 1.067 7.241

(8)
! EuTmIrAu | Alexandria via LeMat-Bulk | PBE-GGA | optimized geometry; values from VASP
! SG = F-43m, No. 216
! Density of states at the Fermi level = 7.967 states/eV per cell
! Spin magnetization = 6.916 Bohr magnetons per cell
! VASP energy = -7.38 eV/atom
&SYSTEM
  ibrav = 0, nat = 4, ntyp = 4
/
ATOMIC_SPECIES
Tm 168.93 Tm.upf
Ir 192.22 Ir.upf
Au 196.97 Au.upf
Eu 151.96 Eu.upf
ATOMIC_POSITIONS angstrom
Tm 2.495 1.441 1.019
Ir 4.990 2.881 2.037
Au 0.000 0.000 0.000
Eu 7.485 4.322 3.056
CELL_PARAMETERS angstrom
4.990 0.000 0.000
2.495 4.322 0.000
2.495 1.441 4.074

(9)
! La2ZrInH | Alexandria via LeMat-Bulk | PBE-GGA | optimized geometry; values from VASP
! SG = P4/mmm, No. 123
! Density of states at the Fermi level = 5.346 states/eV per cell
! Spin magnetization = 0.001 Bohr magnetons per cell
! VASP energy = -5.16 eV/atom
&SYSTEM
  ibrav = 0, nat = 5, ntyp = 4
/
ATOMIC_SPECIES
La 138.91 La.upf
Zr 91.22 Zr.upf
In 114.82 In.upf
H 1.01 H.upf
ATOMIC_POSITIONS angstrom
La 2.457 0.000 0.000
Zr 0.000 0.000 2.430
La 0.000 2.457 0.000
In 2.457 2.457 2.430
H 0.000 0.000 0.000
CELL_PARAMETERS angstrom
4.915 0.000 0.000
0.000 4.915 0.000
0.000 0.000 4.861

(10)
! La2DySb3Rh4 | Alexandria via LeMat-Bulk | PBE-GGA | optimized geometry; values from VASP
! SG = P-4m2, No. 115
! Density of states at the Fermi level = 7.988 states/eV per cell
! Formation energy (no corrections) = -911 meV/atom
! Spin magnetization = 0.001 Bohr magnetons per cell
! VASP energy = -6.53 eV/atom
&SYSTEM
  ibrav = 0, nat = 10, ntyp = 4
/
ATOMIC_SPECIES
Sb 121.76 Sb.upf
La 138.91 La.upf
Rh 102.91 Rh.upf
Dy 162.50 Dy.upf
ATOMIC_POSITIONS angstrom
Sb 0.000 0.000 5.664
La 0.000 2.231 8.714
Rh 0.000 0.000 0.000
Dy 2.231 2.231 5.664
Rh 2.231 0.000 7.294
Rh 0.000 2.231 4.035
Rh 2.231 2.231 0.000
La 2.231 0.000 2.614
Sb 2.231 0.000 9.878
Sb 0.000 2.231 1.450
CELL_PARAMETERS angstrom
4.462 0.000 0.000
0.000 4.462 0.000
0.000 0.000 11.328

(11)
! GeMo2Br | Alexandria via LeMat-Bulk | PBE-GGA | optimized geometry; values from VASP
! E above lowest polymorph = 0.000 eV/f.u.
! SG = Fm-3m, No. 225
! Density of states at the Fermi level = 5.024 states/eV per cell
! Formation energy (no corrections) = 618 meV/atom
! Spin magnetization = 0.000 Bohr magnetons per cell
! VASP energy = -6.37 eV/atom
&SYSTEM
  ibrav = 0, nat = 4, ntyp = 3
/
ATOMIC_SPECIES
Mo 95.94 Mo.upf
Br 79.90 Br.upf
Ge 72.64 Ge.upf
ATOMIC_POSITIONS angstrom
Mo -2.519 0.727 -0.832
Br -5.038 1.454 -1.664
Ge 0.000 0.000 0.000
Mo -7.558 2.181 -2.496
CELL_PARAMETERS angstrom
-3.808 2.056 1.202
-2.321 2.376 -3.024
-3.948 -1.525 -1.505

(12)
! La2Dy9Y | Alexandria via LeMat-Bulk | PBE-GGA | optimized geometry; values from VASP
! SG = P4/mmm, No. 123
! Density of states at the Fermi level = 18.607 states/eV per cell
! Spin magnetization = 0.000 Bohr magnetons per cell
! VASP energy = -4.78 eV/atom
&SYSTEM
  ibrav = 0, nat = 12, ntyp = 3
/
ATOMIC_SPECIES
Dy 162.50 Dy.upf
La 138.91 La.upf
Y 88.91 Y.upf
ATOMIC_POSITIONS angstrom
Dy 0.000 2.532 2.492
Dy 2.532 2.532 5.042
Dy 0.000 2.532 7.603
Dy 2.532 2.532 10.165
La 0.000 0.000 10.135
Dy 2.532 0.000 2.492
La 0.000 0.000 5.072
Dy 2.532 2.532 0.000
Y 0.000 0.000 0.000
Dy 2.532 0.000 12.715
Dy 0.000 2.532 12.715
Dy 2.532 0.000 7.603
CELL_PARAMETERS angstrom
5.064 0.000 0.000
0.000 5.064 0.000
0.000 0.000 15.207

Question: Look up the spin magnetization of the second one.
Answer: 0.000 Bohr magnetons per cell